This record from Alexandria via LeMat-Bulk describes an optimized crystal structure of KMoOs2. The functional is GGA-PBE.

abc: 5.8475 5.8475 5.8475
angles: 152.66 129.02 58.81
Atoms (fractional coordinates):
K1 0.7500 0.2500 0.5000
Mo1 0.2500 0.7500 0.5000
Os1 0.0305 0.0305 0.0000
Os2 0.4695 0.4695 0.0000

symmetry: No. 71
total magnetization: 0.361 μB/f.u.
formation enthalpy at 0 K: 5.25 eV/f.u.
polymorph energy (0 for the lowest one): 0.648 eV/atom
density of states at the Fermi level: 3.89 states/eV/f.u.